The following is a DFT calculation (meta-GGA SCAN) of Li3Mn3TeO8 at its PBEsol-relaxed geometry.

Cell and atoms, written as extended XYZ:
```
30
Lattice="-4.706 -3.034 -2.560 -3.931 -3.031 3.642 -8.137 6.087 1.014" Properties=species:S:1:pos:R:3 pbc="T T T"
O -8.812 -1.625 -0.399
Li -8.529 -3.154 0.957
Mn -4.069 3.043 0.507
Te -2.353 -1.517 -1.280
O -12.511 1.420 3.063
O -2.003 -0.111 0.064
O -7.963 1.647 2.495
O -8.293 -1.253 2.749
Mn -1.966 -1.515 1.821
Li -6.161 -1.510 2.329
O -10.348 3.216 1.138
Li -12.571 -0.110 1.681
Li -4.203 0.132 0.415
O -14.771 0.133 2.032
O -10.533 -0.151 1.163
O -3.992 -1.767 2.212
Li -8.245 3.176 1.139
Te -6.034 1.528 2.328
O -6.026 2.932 0.938
O -8.482 1.275 -0.653
O -10.748 -2.910 1.158
Li -10.613 1.532 -0.233
O -6.242 0.173 0.933
Mn -6.422 1.526 -0.773
O -6.426 -3.194 0.958
O -12.783 1.789 -0.116
Mn -4.319 -3.033 0.541
O -4.263 -1.398 -0.968
Mn 0.000 0.000 0.000
Mn -8.387 0.011 1.048
```

## Properties
Formation energy (no corrections) = -2756 kJ/mol of formula units
Relative energy among the computed polymorphs = 0 meV per atom
Space group = C2/c (15)
DOS at the Fermi energy = 6.25 states/eV/cell
M_tot = 27.93 μB per cell
DFT total energy = -355.195 eV/cell

The following is a DFT calculation (meta-GGA SCAN) of Ca2YAu2 at its PBEsol-relaxed geometry.

Cell and atoms, written as extended XYZ:
```
10
Lattice="-2.198 -1.983 -3.198 5.261 -5.549 -0.177 -3.992 -3.950 5.193" Properties=species:S:1:pos:R:3 pbc="T T T"
Ca 0.010 -3.503 -0.805
Y 0.635 -4.749 2.508
Y 0.000 0.000 0.000
Au 2.023 -7.309 3.141
Ca -2.886 -4.527 1.822
Au 2.801 -4.050 0.585
Au -1.532 -5.449 4.431
Ca -0.940 -7.978 2.623
Au -0.753 -2.190 1.875
Ca 1.957 -6.954 -0.004
```

## Properties
Space group = P4/mbm (127)
DOS at the Fermi energy = 6.10 states/eV/cell
M_tot = 0.00 μB per cell
DFT total energy = -379.637 eV/cell
Formation energy from the elements = -0.8670 eV per atom

The following is a DFT calculation (meta-GGA SCAN) of NaNb3Se at its PBEsol-relaxed geometry.

Cell and atoms, written as extended XYZ:
```
5
Lattice="4.800 0.000 0.000 0.000 4.800 0.000 0.000 0.000 4.800" Properties=species:S:1:pos:R:3 pbc="T T T"
Nb 0.000 2.400 0.000
Nb 2.400 0.000 0.000
Se 0.000 0.000 0.000
Nb 0.000 0.000 2.400
Na 2.400 2.400 2.400
```

## Properties
Formation energy (no corrections) = 398 kJ/mol of formula units
Space group = Pm-3m (221)
DOS at the Fermi energy = 7.02 states/eV/cell
M_tot = 0.00 μB per cell
DFT total energy = -119.555 eV/cell

The following is a DFT calculation (meta-GGA SCAN) of DyInAu at its PBEsol-relaxed geometry.

Cell and atoms, written as extended XYZ:
```
9
Lattice="-1.429 -2.690 2.342 6.896 -3.414 0.288 -1.821 5.440 5.137" Properties=species:S:1:pos:R:3 pbc="T T T"
Au 3.991 -0.463 1.905
Dy -1.804 1.907 4.242
In 1.823 -0.902 0.076
In 3.733 1.490 3.991
Dy 1.326 -0.530 3.352
Au -0.715 -1.345 1.171
Dy 3.409 -3.386 1.343
In -0.482 1.438 1.358
Au 1.085 2.489 3.521
```

## Properties
Space group = P-62m (189)
DOS at the Fermi energy = 3.06 states/eV/cell
M_tot = 0.00 μB per cell
DFT total energy = -459.797 eV/cell
Formation energy from the elements = -0.9753 eV per atom

The following is a DFT calculation (meta-GGA SCAN) of BaHfMg2Cd at its PBEsol-relaxed geometry.

Cell and atoms, written as extended XYZ:
```
5
Lattice="-2.801 -0.441 4.385 4.398 -0.613 2.748 0.300 5.492 0.744" Properties=species:S:1:pos:R:3 pbc="T T T"
Ba 0.949 2.219 3.939
Mg -1.401 -0.220 2.193
Hf 0.150 2.746 0.372
Mg 2.199 -0.306 1.374
Cd 0.000 0.000 0.000
```

## Properties
Space group = P4/mmm (123)
DOS at the Fermi energy = 4.64 states/eV/cell
M_tot = 1.17 μB per cell
DFT total energy = -140.520 eV/cell
Formation energy from the elements = 0.4130 eV per atom

The following is a DFT calculation (meta-GGA SCAN) of CrCu2As at its PBEsol-relaxed geometry.

Cell and atoms, written as extended XYZ:
```
4
Lattice="-2.371 0.255 -1.971 -1.979 -0.056 2.373 0.274 5.277 0.353" Properties=species:S:1:pos:R:3 pbc="T T T"
As 0.145 2.782 0.186
Cu -2.114 1.282 0.280
Cu 0.004 0.086 0.006
Cr -1.974 3.966 0.459
```

## Properties
Space group = P4mm (99)
DOS at the Fermi energy = 1.97 states/eV/cell
M_tot = 2.59 μB per cell
DFT total energy = -68.484 eV/cell
Formation energy from the elements = 0.1226 eV per atom

The following is a DFT calculation (meta-GGA SCAN) of IrRh2Br at its PBEsol-relaxed geometry.

Cell and atoms, written as extended XYZ:
```
4
Lattice="4.397 0.000 0.000 2.199 3.808 0.000 2.199 1.269 3.590" Properties=species:S:1:pos:R:3 pbc="T T T"
Ir 4.397 2.539 1.795
Rh 2.199 1.269 0.898
Br 0.000 0.000 0.000
Rh 6.596 3.808 2.693
```

## Properties
Formation energy (no corrections) = 334 kJ/mol of formula units
Relative energy among the computed polymorphs = 202 meV per atom
Space group = Fm-3m (225)
DOS at the Fermi energy = 3.86 states/eV/cell
M_tot = 0.00 μB per cell
DFT total energy = -154.641 eV/cell

The following is a DFT calculation (meta-GGA SCAN) of SbTe2Os at its PBEsol-relaxed geometry.

Cell and atoms, written as extended XYZ:
```
4
Lattice="3.831 0.000 0.000 1.915 3.318 0.000 1.915 1.106 8.913" Properties=species:S:1:pos:R:3 pbc="T T T"
Te 5.746 3.318 3.050
Te 1.915 1.106 5.862
Os 3.831 2.212 4.456
Sb 0.000 0.000 0.000
```

## Properties
Formation energy (no corrections) = 105 kJ/mol of formula units
Space group = R-3m (166)
DOS at the Fermi energy = 3.19 states/eV/cell
M_tot = 0.00 μB per cell
DFT total energy = -182.558 eV/cell

The following is a DFT calculation (meta-GGA SCAN) of CsBrF3 at its PBEsol-relaxed geometry.

Cell and atoms, written as extended XYZ:
```
5
Lattice="4.572 0.000 0.000 0.000 4.572 0.000 0.000 0.000 4.572" Properties=species:S:1:pos:R:3 pbc="T T T"
Br 2.286 2.286 2.286
Cs 0.000 0.000 0.000
F 2.286 2.286 0.000
F 0.000 2.286 2.286
F 2.286 0.000 2.286
```

## Properties
Formation energy (no corrections) = -675 kJ/mol of formula units
Space group = Pm-3m (221)
DOS at the Fermi energy = 2.55 states/eV/cell
M_tot = 0.00 μB per cell
DFT total energy = -74.889 eV/cell

The following is a DFT calculation (meta-GGA SCAN) of USi3Ni2 at its PBEsol-relaxed geometry.

Cell and atoms, written as extended XYZ:
```
12
Lattice="-1.609 1.436 -3.214 -3.430 -1.433 1.077 0.132 9.952 6.711" Properties=species:S:1:pos:R:3 pbc="T T T"
Si -1.045 1.719 -1.039
Ni -2.998 1.994 0.061
Si -1.955 0.284 1.106
Si -1.446 6.030 3.419
Si -2.952 9.671 3.469
Si -3.862 8.236 5.614
U -0.719 2.997 1.699
Ni -2.909 4.260 3.360
Si -3.461 3.925 1.156
Ni -1.998 5.695 1.215
Ni -1.909 7.961 4.514
U -4.188 6.958 2.876
```

## Properties
Formation energy (no corrections) = -256 kJ/mol of formula units
Space group = I4/mmm (139)
DOS at the Fermi energy = 16.79 states/eV/cell
M_tot = 3.49 μB per cell
DFT total energy = -337.158 eV/cell

The following is a DFT calculation (meta-GGA SCAN) of ReOsAu2 at its PBEsol-relaxed geometry.

Cell and atoms, written as extended XYZ:
```
4
Lattice="-1.992 1.551 -1.180 -2.949 -3.758 0.041 -0.022 1.091 4.761" Properties=species:S:1:pos:R:3 pbc="T T T"
Au -1.253 -0.009 2.103
Au -3.711 -1.108 1.519
Os -0.996 0.775 -0.590
Re -1.475 -1.879 0.021
```

## Properties
Relative energy among the computed polymorphs = 0 meV per atom
Space group = C2/m (12)
DOS at the Fermi energy = 3.74 states/eV/cell
M_tot = 0.00 μB per cell
DFT total energy = -278.945 eV/cell
Formation energy from the elements = 0.5865 eV per atom

The following is a DFT calculation (meta-GGA SCAN) of Ce2TeO2 at its PBEsol-relaxed geometry.

Cell and atoms, written as extended XYZ:
```
5
Lattice="3.977 0.000 0.000 0.000 3.977 0.000 -1.988 -1.988 6.303" Properties=species:S:1:pos:R:3 pbc="T T T"
Ce 0.000 0.000 4.350
O 1.988 0.000 3.152
Ce 1.988 1.988 1.954
Te 0.000 0.000 0.000
O 0.000 1.988 3.152
```

## Properties
Formation energy (no corrections) = -1523 kJ/mol of formula units
Space group = I4/mmm (139)
DOS at the Fermi energy = 0.99 states/eV/cell
M_tot = 2.00 μB per cell
DFT total energy = -154.623 eV/cell

The following is a DFT calculation (meta-GGA SCAN) of RuSeBr2 at its PBEsol-relaxed geometry.

Cell and atoms, written as extended XYZ:
```
4
Lattice="-2.386 3.290 -2.084 1.261 -3.890 -2.580 -3.249 -3.030 -1.063" Properties=species:S:1:pos:R:3 pbc="T T T"
Se 0.000 0.000 0.000
Ru -2.817 0.130 -1.574
Br -3.596 -1.750 -3.651
Br -0.778 -1.880 -2.077
```

## Properties
Formation energy (no corrections) = 401 kJ/mol of formula units
Relative energy among the computed polymorphs = 721 meV per atom
Space group = I4/mmm (139)
DOS at the Fermi energy = 2.78 states/eV/cell
M_tot = 1.21 μB per cell
DFT total energy = -89.664 eV/cell

The following is a DFT calculation (meta-GGA SCAN) of WCl2 at its PBEsol-relaxed geometry.

Cell and atoms, written as extended XYZ:
```
3
Lattice="-2.391 1.632 -0.991 0.094 -0.971 2.900 3.224 5.849 1.855" Properties=species:S:1:pos:R:3 pbc="T T T"
Cl 0.854 5.150 1.697
Cl 0.072 1.360 2.068
W 0.000 0.000 0.000
```

## Properties
Formation energy (no corrections) = -46 kJ/mol of formula units
Relative energy among the computed polymorphs = 631 meV per atom
Space group = P-3m1 (164)
DOS at the Fermi energy = 1.04 states/eV/cell
M_tot = 0.00 μB per cell
DFT total energy = -86.125 eV/cell

The following is a DFT calculation (meta-GGA SCAN) of TiB2W at its PBEsol-relaxed geometry.

Cell and atoms, written as extended XYZ:
```
4
Lattice="3.063 0.000 0.000 0.000 3.160 0.000 0.000 -1.580 4.184" Properties=species:S:1:pos:R:3 pbc="T T T"
W 0.000 0.000 1.227
B 1.532 1.580 0.509
Ti 1.532 1.580 2.958
B 0.000 0.000 3.675
```

## Properties
Space group = Amm2 (38)
DOS at the Fermi energy = 0.59 states/eV/cell
M_tot = 0.00 μB per cell
DFT total energy = -103.704 eV/cell
Formation energy from the elements = -0.7819 eV per atom

The following is a DFT calculation (meta-GGA SCAN) of FeRu2 at its PBEsol-relaxed geometry.

Cell and atoms, written as extended XYZ:
```
6
Lattice="-1.043 -2.368 -0.484 4.497 -0.133 -1.879 0.929 -1.599 5.818" Properties=species:S:1:pos:R:3 pbc="T T T"
Ru 1.028 -1.125 3.286
Ru 3.282 -1.952 2.473
Ru 3.355 -1.465 -0.066
Ru 2.094 -3.279 4.372
Fe 3.453 -2.502 -2.355
Fe 1.106 -2.150 0.978
```

## Properties
Space group = Cm (8)
DOS at the Fermi energy = 5.83 states/eV/cell
M_tot = 0.01 μB per cell
DFT total energy = -174.180 eV/cell
Formation energy from the elements = 0.2307 eV per atom

The following is a DFT calculation (meta-GGA SCAN) of Zn2CrGeMo at its PBEsol-relaxed geometry.

Cell and atoms, written as extended XYZ:
```
5
Lattice="-1.931 -1.951 3.537 -1.142 -3.496 -2.552 3.949 -2.041 1.030" Properties=species:S:1:pos:R:3 pbc="T T T"
Ge 0.000 0.000 0.000
Zn -0.571 -1.748 -1.276
Zn -0.965 -0.975 1.768
Cr 1.975 -1.021 0.515
Mo 0.438 -3.744 1.007
```

## Properties
Space group = P4/mmm (123)
DOS at the Fermi energy = 2.29 states/eV/cell
M_tot = 0.37 μB per cell
DFT total energy = -94.179 eV/cell
Formation energy from the elements = 1.0419 eV per atom

The following is a DFT calculation (meta-GGA SCAN) of La4TaCd at its PBEsol-relaxed geometry.

Cell and atoms, written as extended XYZ:
```
6
Lattice="-3.355 4.568 2.600 -5.826 -1.117 1.921 -1.295 -0.165 6.098" Properties=species:S:1:pos:R:3 pbc="T T T"
La -5.603 3.502 5.282
La -6.829 0.682 4.945
Ta -7.857 2.465 7.964
Cd 0.000 0.000 0.000
La -3.939 1.236 3.992
La -4.581 1.154 7.017
```

## Properties
Space group = F-43m (216)
DOS at the Fermi energy = 6.06 states/eV/cell
M_tot = 2.79 μB per cell
DFT total energy = -265.164 eV/cell
Formation energy from the elements = 0.7090 eV per atom

The following is a DFT calculation (meta-GGA SCAN) of Mg3CoPb at its PBEsol-relaxed geometry.

Cell and atoms, written as extended XYZ:
```
5
Lattice="4.811 0.000 0.000 0.000 4.811 0.000 0.000 0.000 4.811" Properties=species:S:1:pos:R:3 pbc="T T T"
Mg 2.405 0.000 0.000
Co 0.000 0.000 0.000
Mg 0.000 0.000 2.405
Pb 2.405 2.405 2.405
Mg 0.000 2.405 0.000
```

## Properties
Space group = Pm-3m (221)
DOS at the Fermi energy = 3.49 states/eV/cell
M_tot = 0.77 μB per cell
DFT total energy = -106.534 eV/cell
Formation energy from the elements = 0.2946 eV per atom

The following is a DFT calculation (meta-GGA SCAN) of FeAs at its PBEsol-relaxed geometry.

Cell and atoms, written as extended XYZ:
```
4
Lattice="-2.909 0.322 0.182 0.028 -1.738 3.530 2.011 4.751 0.129" Properties=species:S:1:pos:R:3 pbc="T T T"
Fe -1.029 3.655 0.711
As 0.452 2.716 2.430
As -1.321 0.619 1.412
Fe 0.160 -0.320 3.130
```

## Properties
Space group = Imma (74)
DOS at the Fermi energy = 3.01 states/eV/cell
M_tot = 3.99 μB per cell
DFT total energy = -75.743 eV/cell
Formation energy from the elements = 0.2244 eV per atom